[1]
Below is a relaxed ScTa2Tc crystal, with properties calculated at the GGA-PBE level. Values from VASP.

```
&SYSTEM
  ibrav = 0, nat = 4, ntyp = 3
/
ATOMIC_SPECIES
Sc 44.96 Sc.upf
Ta 180.95 Ta.upf
Tc 98.00 Tc.upf
ATOMIC_POSITIONS crystal
Sc 0.000 0.000 0.000
Ta 0.000 0.500 0.500
Ta 0.500 0.000 0.500
Tc 0.500 0.500 0.000
CELL_PARAMETERS angstrom
4.664 0.000 0.000
0.000 4.664 0.000
0.000 0.000 3.234
```

Energy above the most stable polymorph in this dataset   0.194 eV per atom
ΔE_f   0.04 eV per atom
N(E_F)   5.27 states/eV/f.u.

[2]
Below is a relaxed ScTa5Tc6 crystal, with properties calculated at the GGA-PBE level. Values from VASP.

```
&SYSTEM
  ibrav = 0, nat = 12, ntyp = 3
/
ATOMIC_SPECIES
Sc 44.96 Sc.upf
Ta 180.95 Ta.upf
Tc 98.00 Tc.upf
ATOMIC_POSITIONS crystal
Sc 0.000 0.000 0.000
Ta 0.166 0.666 0.500
Ta 0.334 0.334 0.000
Ta 0.500 0.000 0.500
Ta 0.666 0.666 0.000
Ta 0.834 0.334 0.500
Tc 0.084 0.831 0.252
Tc 0.255 0.500 0.755
Tc 0.421 0.169 0.252
Tc 0.579 0.831 0.748
Tc 0.745 0.500 0.245
Tc 0.916 0.169 0.748
CELL_PARAMETERS angstrom
-2.254 3.194 6.777
2.254 -3.194 6.777
2.254 3.194 -6.777
```

ΔE_f   -0.46 eV per atom
N(E_F)   9.18 states/eV/f.u.

[3]
Below is a relaxed ScTaTc2 crystal, with properties calculated at the GGA-PBE level. Values from VASP.

```
&SYSTEM
  ibrav = 0, nat = 4, ntyp = 3
/
ATOMIC_SPECIES
Sc 44.96 Sc.upf
Ta 180.95 Ta.upf
Tc 98.00 Tc.upf
ATOMIC_POSITIONS crystal
Sc 0.000 0.000 0.000
Ta 0.500 0.500 0.500
Tc 0.246 0.246 0.246
Tc 0.754 0.754 0.754
CELL_PARAMETERS angstrom
1.542 0.890 8.325
-1.542 0.890 8.325
0.000 -1.780 8.325
```

Energy above the most stable polymorph in this dataset   0.323 eV per atom
ΔE_f   0.00 eV per atom
N(E_F)   2.92 states/eV/f.u.

[4]
Below is a relaxed ScTa2Tc crystal, with properties calculated at the GGA-PBE level. Values from VASP.

```
&SYSTEM
  ibrav = 0, nat = 4, ntyp = 3
/
ATOMIC_SPECIES
Sc 44.96 Sc.upf
Ta 180.95 Ta.upf
Tc 98.00 Tc.upf
ATOMIC_POSITIONS crystal
Sc 0.000 0.000 0.000
Ta 0.250 0.250 0.250
Ta 0.500 0.500 0.500
Tc 0.750 0.750 0.750
CELL_PARAMETERS angstrom
0.000 3.280 3.280
3.280 0.000 3.280
3.280 3.280 0.000
```

Energy above the most stable polymorph in this dataset   0.178 eV per atom
ΔE_f   0.03 eV per atom
N(E_F)   5.35 states/eV/f.u.

[5]
Below is a relaxed Sc2TaTlTc crystal, with properties calculated at the GGA-PBE level. Values from VASP.

```
&SYSTEM
  ibrav = 0, nat = 5, ntyp = 4
/
ATOMIC_SPECIES
Sc 44.96 Sc.upf
Ta 180.95 Ta.upf
Tl 204.38 Tl.upf
Tc 98.00 Tc.upf
ATOMIC_POSITIONS crystal
Sc 0.000 0.500 0.000
Sc 0.500 0.000 0.000
Ta 0.000 0.000 0.000
Tl 0.500 0.500 0.500
Tc 0.000 0.000 0.500
CELL_PARAMETERS angstrom
5.229 0.000 0.000
0.000 5.229 0.000
0.000 0.000 4.666
```

ΔE_f   0.84 eV per atom
N(E_F)   5.96 states/eV/f.u.

[6]
Below is a relaxed ScTaVTc crystal, with properties calculated at the GGA-PBE level. Values from VASP.

```
&SYSTEM
  ibrav = 0, nat = 4, ntyp = 4
/
ATOMIC_SPECIES
Sc 44.96 Sc.upf
Ta 180.95 Ta.upf
V 50.94 V.upf
Tc 98.00 Tc.upf
ATOMIC_POSITIONS crystal
Sc 0.000 0.000 0.000
Ta 0.500 0.500 0.500
V 0.250 0.250 0.250
Tc 0.750 0.750 0.750
CELL_PARAMETERS angstrom
0.000 3.236 3.236
3.236 0.000 3.236
3.236 3.236 0.000
```

ΔE_f   -0.08 eV per atom
N(E_F)   3.38 states/eV/f.u.